# KLiIr2

A geometry-optimized KLiIr2 structure (GGA-PBE, the Alexandria database).

a b c (Å): 10.1540 10.1540 10.1540
angles (deg): 155.05 155.05 35.58
With the nearest neighbours (Å) after each atom.
Positions (direct):
K1 0.0000 0.0000 0.0000  4 Li 3.10, 4 Ir 3.17
K2 0.7500 0.2500 0.5000  4 Li 3.10, 4 Ir 3.17
Li1 0.2500 0.7500 0.5000  4 Ir 2.69
Li2 0.5000 0.5000 0.0000  4 Ir 2.69
Ir1 0.2699 0.1250 0.6449  2 Ir 2.38
Ir2 0.3750 0.7301 0.8551  2 Ir 2.38
Ir3 0.4801 0.6250 0.3551  2 Ir 2.38
Ir4 0.8750 0.5199 0.1449  2 Ir 2.38

Energy of formation from the pure elements in eV/atom: 0.618
ΔE to the lowest computed polymorph in eV/atom: 0.396
Symmetry: I-42d, No. 122
DOS at the Fermi energy in states/eV/atom: 0.65
V in Å³ per cell: 186.1

# KLiIrN2

A geometry-optimized KLiIrN2 structure (GGA-PBE, the Alexandria database).

a b c (Å): 4.6848 4.6848 5.6265
angles (deg): 90.00 90.00 90.00
With the nearest neighbours (Å) after each atom.
Positions (direct):
K1 0.0000 0.0000 0.0000  4 N 2.34
Li1 0.5000 0.5000 0.5000  4 Ir 3.31, 8 N 3.66
Ir1 0.0000 0.0000 0.5000  2 K 2.81
N1 0.0000 0.5000 0.0000  2 K 2.34
N2 0.5000 0.0000 0.0000  2 K 2.34

Raw total energy in eV/atom: -2.620
Symmetry: P4/mmm, No. 123
DOS at the Fermi energy in states/eV/atom: 1.49
V in Å³ per cell: 123.5

Question: Which formula does entry 2 have?
Answer: KLiIrN2

Question: Which formula does entry 2 have?
Answer: KLiIrN2